Below is crystalline MnTlRuO6 at its relaxed geometry, with properties calculated at the PBE+U level.

```
MnTlRuO6
1.0
5.1370 0.0000 0.0000
-2.5685 4.4487 0.0000
0.0000 0.0000 4.8442
Mn Tl Ru O
1 1 1 6
direct
0.0000 0.0000 0.0000
0.3333 0.6667 0.5000
0.6667 0.3333 0.0000
0.3301 0.0371 0.2211
0.3301 0.2930 0.7789
0.7070 0.0371 0.7789
0.7070 0.6699 0.2211
0.9629 0.2930 0.2211
0.9629 0.6699 0.7789
```

Values from the calculation:
E_tot: -6.3750 eV/atom
SG: P312